1.
Computed, not measured: ReSiN3 after structural relaxation at the PBE level of DFT.

## Properties
Energy ... -38.35 eV/cell
Space-group type ... Pm-3m (221)
Formation energy from raw total energies ... 0.900 eV per atom

The structure in extended XYZ format:
```
5
Lattice="3.550 0.000 0.000 0.000 3.550 0.000 0.000 0.000 3.550" Properties=species:S:1:pos:R:3 pbc="T T T"
Re 0.000 0.000 0.000
Si 1.775 1.775 1.775
N 0.000 1.775 1.775
N 1.775 0.000 1.775
N 1.775 1.775 0.000
```


2.
Computed, not measured: NdEr2Tl after structural relaxation at the PBE level of DFT.

## Properties
Energy ... -16.96 eV/cell
Space-group type ... P4/mmm (123)
Formation enthalpy at 0 K ... -176 meV per atom

The structure in extended XYZ format:
```
4
Lattice="4.904 0.000 0.000 0.000 4.904 0.000 0.000 0.000 4.826" Properties=species:S:1:pos:R:3 pbc="T T T"
Nd 0.000 0.000 0.000
Er 0.000 2.452 2.413
Er 2.452 0.000 2.413
Tl 2.452 2.452 0.000
```